# ZnRhO3 (PBE-GGA, relaxed)
data_ZnRhO3
_space_group_name_H-M_alt 'P 1'
_space_group_IT_number 1
_space_group_name_Hall 'P 1'
_cell_length_a 3.8617
_cell_length_b 3.8617
_cell_length_c 3.8617
_cell_angle_alpha 90.00
_cell_angle_beta 90.00
_cell_angle_gamma 90.00
loop_
_atom_site_label
_atom_site_fract_x
_atom_site_fract_y
_atom_site_fract_z
_atom_site_occupancy
O1 0.0000 0.0000 0.5000 1
O2 0.0000 0.5000 0.0000 1
O3 0.5000 0.0000 0.0000 1
Rh1 0.0000 0.0000 0.0000 1
Zn1 0.5000 0.5000 0.5000 1
# **Symmetry**: No. 221
# **Formation energy without anion corrections**: -0.26 eV/atom
# **Fermi-level density of states**: 2.673 states/eV/f.u.